{"formula": "Pa2BPd", "functional": "PBE", "state": "optimized geometry", "lattice_angstrom": [[-1.415, 2.709, 1.269], [-2.673, 1.304, -1.450], [-6.390, -3.564, 4.799]], "species": ["Pd", "Pa", "Pa", "B"], "fractional_positions": [[0.000, 0.000, 0.000], [0.894, 0.894, 0.317], [0.106, 0.106, 0.683], [0.500, 0.500, 0.500]], "space_group": "R-3m"}

---

{"formula": "PaBPd", "functional": "PBE", "state": "optimized geometry", "lattice_angstrom": [[3.350, 0.017, -0.119], [-0.031, 3.349, -0.119], [-1.345, -1.365, 9.111]], "species": ["Pd", "Pd", "B", "B", "Pa", "Pa"], "fractional_positions": [[0.703, 0.703, 0.406], [0.297, 0.297, 0.594], [0.000, 0.500, 0.000], [0.500, 0.000, 0.000], [0.107, 0.107, 0.214], [0.893, 0.893, 0.786]], "space_group": "Fmmm"}

---

{"formula": "PaB3Pd4Pt12", "functional": "PBE", "state": "optimized geometry", "lattice_angstrom": [[7.611, 0.000, 0.000], [-2.537, 7.176, 0.000], [-2.537, -3.588, 6.215]], "species": ["Pd", "Pd", "Pd", "Pd", "Pt", "Pt", "Pt", "Pt", "Pt", "Pt", "Pt", "Pt", "Pt", "Pt", "Pt", "Pt", "Pa", "B", "B", "B"], "fractional_positions": [[0.000, 0.000, 0.500], [0.500, 0.000, 0.000], [0.500, 0.500, 0.500], [0.000, 0.500, 0.000], [0.721, 0.721, 0.000], [0.750, 0.500, 0.250], [0.250, 0.750, 0.500], [0.250, 0.500, 0.750], [0.721, 0.000, 0.721], [0.500, 0.750, 0.250], [0.279, 0.000, 0.279], [0.500, 0.250, 0.750], [0.750, 0.250, 0.500], [0.279, 0.279, 0.000], [0.000, 0.279, 0.279], [0.000, 0.721, 0.721], [0.000, 0.000, 0.000], [0.500, 0.500, 0.000], [0.500, 0.000, 0.500], [0.000, 0.500, 0.500]], "space_group": "Im-3m"}

---

{"formula": "PmPaB4", "functional": "PBE", "state": "optimized geometry", "lattice_angstrom": [[-0.301, -1.608, 4.551], [3.133, -3.315, 1.605], [3.382, 1.233, 3.229]], "species": ["Pa", "B", "B", "B", "B", "Pm"], "fractional_positions": [[0.250, 0.250, 0.250], [0.591, 0.227, 0.591], [0.591, 0.591, 0.227], [0.591, 0.591, 0.591], [0.227, 0.591, 0.591], [0.000, 0.000, 0.000]], "polymorph_energy_kcal_per_mol_atoms": 18.82, "space_group": "F-43m"}

---

{"formula": "PmPaB4", "functional": "PBE", "state": "optimized geometry", "lattice_angstrom": [[0.236, 2.136, 2.442], [-0.330, -2.627, 4.497], [4.594, -0.734, 2.364]], "species": ["Pa", "B", "B", "B", "B", "Pm"], "fractional_positions": [[0.500, 0.500, 0.500], [0.248, 0.083, 0.421], [0.752, 0.917, 0.579], [0.752, 0.579, 0.917], [0.248, 0.421, 0.083], [0.000, 0.000, 0.000]], "polymorph_energy_kcal_per_mol_atoms": 0.00, "space_group": "Immm"}

---

{"formula": "PmPa2B6", "functional": "PBE", "state": "optimized geometry", "lattice_angstrom": [[-1.934, -3.120, -1.764], [0.405, -2.946, 4.766], [-4.470, 3.281, -0.902]], "species": ["B", "B", "B", "B", "B", "B", "Pm", "Pa", "Pa"], "fractional_positions": [[0.500, 0.339, 0.339], [0.500, 0.661, 0.661], [0.500, 0.661, 0.000], [0.500, 0.000, 0.661], [0.500, 0.000, 0.339], [0.500, 0.339, 0.000], [0.000, 0.000, 0.000], [0.000, 0.333, 0.667], [0.000, 0.667, 0.333]], "space_group": "P6/mmm"}

---

{"formula": "PrPa2B6", "functional": "PBE", "state": "optimized geometry", "lattice_angstrom": [[-1.253, 2.261, -3.183], [3.625, -2.715, -3.356], [-5.240, -1.968, 0.665]], "species": ["B", "B", "B", "B", "B", "B", "Pa", "Pa", "Pr"], "fractional_positions": [[0.500, 0.340, 0.340], [0.500, 0.660, 0.000], [0.500, 0.340, 0.000], [0.500, 0.000, 0.660], [0.500, 0.660, 0.660], [0.500, 0.000, 0.340], [0.000, 0.333, 0.667], [0.000, 0.667, 0.333], [0.000, 0.000, 0.000]], "space_group": "P6/mmm"}

---

{"formula": "PrPaB12", "functional": "PBE", "state": "optimized geometry", "lattice_angstrom": [[-1.695, -0.414, 3.715], [3.176, -2.310, 1.192], [3.950, 6.749, 2.555]], "species": ["B", "B", "B", "B", "B", "B", "B", "B", "B", "B", "B", "B", "Pr", "Pa"], "fractional_positions": [[0.500, 0.500, 0.400], [0.500, 0.500, 0.098], [0.500, 0.198, 0.753], [0.500, 0.802, 0.247], [0.198, 0.500, 0.753], [0.500, 0.802, 0.753], [0.802, 0.500, 0.247], [0.198, 0.500, 0.247], [0.500, 0.500, 0.600], [0.500, 0.500, 0.902], [0.802, 0.500, 0.753], [0.500, 0.198, 0.247], [0.000, 0.000, 0.500], [0.000, 0.000, 0.000]], "space_group": "P4/mmm"}

---

{"formula": "PrPa2B", "functional": "PBE", "state": "optimized geometry", "lattice_angstrom": [[3.451, 0.000, 0.000], [1.726, 2.989, 0.000], [1.726, 0.996, 9.540]], "species": ["Pa", "Pa", "B", "Pr"], "fractional_positions": [[0.115, 0.115, 0.656], [0.885, 0.885, 0.344], [0.500, 0.500, 0.500], [0.000, 0.000, 0.000]], "space_group": "R-3m"}

---

{"formula": "PrPaB", "functional": "PBE", "state": "optimized geometry", "lattice_angstrom": [[-0.252, -3.965, 4.376], [4.582, -4.413, -3.735], [4.703, 3.117, 3.095]], "species": ["Pr", "Pr", "Pr", "Pr", "Pa", "Pa", "Pa", "Pa", "B", "B", "B", "B"], "fractional_positions": [[0.000, 0.663, 0.297], [0.500, 0.337, 0.203], [0.000, 0.337, 0.703], [0.500, 0.663, 0.797], [0.000, 0.137, 0.167], [0.500, 0.863, 0.333], [0.500, 0.137, 0.667], [0.000, 0.863, 0.833], [0.142, 0.000, 0.500], [0.858, 0.000, 0.500], [0.358, 0.000, 0.000], [0.642, 0.000, 0.000]], "space_group": "C2/m"}

---

{"formula": "PaBPt", "functional": "PBE", "state": "optimized geometry", "lattice_angstrom": [[-3.620, 0.677, 0.410], [-1.819, -2.563, -0.433], [-1.189, -0.880, 9.571]], "species": ["Pt", "Pt", "Pa", "Pa", "B", "B"], "fractional_positions": [[0.747, 0.300, 0.578], [0.911, 0.236, 0.855], [0.537, 0.867, 0.338], [0.288, 0.012, 0.090], [0.334, 0.540, 0.793], [0.322, 0.997, 0.646]], "polymorph_energy_kcal_per_mol_atoms": 10.86, "space_group": "P1"}

---

{"formula": "PaBPt2", "functional": "PBE", "state": "optimized geometry", "lattice_angstrom": [[5.033, 0.000, 0.000], [2.516, 4.359, 0.000], [2.516, 1.453, 3.305]], "species": ["Pt", "Pt", "B", "Pa"], "fractional_positions": [[0.203, 0.203, 0.391], [0.797, 0.797, 0.609], [0.000, 0.000, 0.000], [0.500, 0.500, 0.500]], "space_group": "R-3m"}

---

Final energy values (in Ry per atom) by entry order: -0.566 -0.527 -0.434 -0.476 -0.536 -0.560 -0.557 -0.527 -0.547 -0.509 -0.553 -0.546.